[1]
# Ta3ZnIr

A relaxed structure of Ta3ZnIr (PBE, Alexandria).

Properties
calculated total energy	-8.05	eV per atom
magnetization	0.000	μB/f.u.
ΔE_f	105	kJ per mole of atoms

Unit cell a=4.855 b=4.855 c=4.855 alpha=90.00 beta=90.00 gamma=90.00
Atoms (fractional coordinates):
Ta: 0.000 0.500 0.000
Zn: 0.500 0.500 0.500
Ta: 0.000 0.000 0.500
Ir: 0.000 0.000 0.000
Ta: 0.500 0.000 0.000

---

[2]
# Ta2Zn2Ir3

A relaxed structure of Ta2Zn2Ir3 (PBE, Alexandria).

Properties
calculated total energy	-7.92	eV per atom
magnetization	0.000	μB/f.u.
ΔE_f	-36	kJ per mole of atoms

Unit cell a=4.462 b=4.464 c=7.323 alpha=90.09 beta=107.79 gamma=119.99
Atoms (fractional coordinates):
Ta: 0.774 0.387 0.161
Ta: 0.226 0.613 0.839
Ir: 0.517 0.258 0.776
Zn: 0.736 0.867 0.605
Ir: 0.483 0.742 0.224
Zn: 0.264 0.133 0.395
Ir: 0.000 0.000 0.000

---

[3]
# Ta2ZnIr

A relaxed structure of Ta2ZnIr (PBE, Alexandria).

Properties
calculated total energy	-8.17	eV per atom
magnetization	0.000	μB/f.u.
ΔE_f	28	kJ per mole of atoms

Unit cell a=7.393 b=7.393 c=5.872 alpha=50.98 beta=50.98 gamma=90.00
Atoms (fractional coordinates):
Zn: 0.500 0.500 0.000
Ta: 0.092 0.625 0.250
Ir: 0.000 0.000 0.000
Ta: 0.375 0.342 0.750
Zn: 0.250 0.750 0.500
Ta: 0.658 0.125 0.250
Ir: 0.750 0.250 0.500
Ta: 0.875 0.908 0.750